## Tb5CePm12 (GGA-PBE)

Data for Tb5CePm12 after structural relaxation.

a = 12.1601 Å, b = 10.4346 Å, c = 5.8551 Å
α = 89.75°, β = 89.58°, γ = 54.36°
Closest atoms and distances in Å follow each position.
Fractional coordinates of all 18 atoms:
Tb 0.1364 0.7272 0.5000  8 Pm 3.38-3.62, 2 Ce 3.73
Tb 0.6382 0.7236 0.0000  8 Pm 3.37-3.63, 2 Tb 3.75
Tb 0.5000 0.0000 0.5000  8 Pm 3.52-3.66, 4 Tb 3.75
Tb 0.3618 0.2764 0.0000  8 Pm 3.37-3.63, 2 Tb 3.75
Tb 0.8636 0.2728 0.5000  8 Pm 3.38-3.62, 2 Ce 3.73
Pm 0.3026 0.0000 0.0625  2 Pm 3.17-3.19, 3 Tb 3.37-3.52
Pm 0.2002 0.0000 0.5665  2 Pm 3.17-3.19, 2 Tb 3.38, 1 Ce 3.50
Pm 0.8299 0.6413 0.5049  5 Pm 3.40-3.78, 4 Tb 3.49-3.62
Pm 0.3265 0.6467 0.9925  7 Pm 3.48-3.87, 3 Tb 3.49-3.63, 1 Ce 3.51
Pm 0.6735 0.3533 0.0075  7 Pm 3.48-3.87, 3 Tb 3.49-3.63, 1 Ce 3.51
Pm 0.0268 0.6467 0.0075  7 Pm 3.48-3.87, 3 Tb 3.49-3.63, 1 Ce 3.51
Pm 0.1701 0.3587 0.4951  5 Pm 3.40-3.78, 4 Tb 3.49-3.62
Pm 0.9732 0.3533 0.9925  7 Pm 3.48-3.87, 3 Tb 3.49-3.63, 1 Ce 3.51
Pm 0.4712 0.3587 0.5049  5 Pm 3.40-3.78, 4 Tb 3.49-3.62
Pm 0.5288 0.6413 0.4951  5 Pm 3.40-3.78, 4 Tb 3.49-3.62
Pm 0.7998 0.0000 0.4335  2 Pm 3.17-3.19, 2 Tb 3.38, 1 Ce 3.50
Pm 0.6974 0.0000 0.9375  2 Pm 3.17-3.19, 3 Tb 3.37-3.52
Ce 0.0000 0.0000 0.0000  8 Pm 3.50-3.70, 4 Tb 3.73

As for the symmetry: C2/m. The calculated formation energy comes out at 0.094 eV/atom.